(1)
Compound: Mo3P3O16
Source: Alexandria via LeMat-Bulk
Functional: GGA+U
Structure: relaxed

```
data_Mo3P3O16
_chemical_formula_sum 'Mo6 P6 O32'
_cell_length_a 6.543
_cell_length_b 7.937
_cell_length_c 12.784
_cell_angle_alpha 79.76
_cell_angle_beta 77.77
_cell_angle_gamma 81.64
_symmetry_space_group_name_H-M 'P -1'
_symmetry_Int_Tables_number 2
_symmetry_space_group_name_Hall '-P 1'
loop_
_atom_site_label
_atom_site_fract_x
_atom_site_fract_y
_atom_site_fract_z
Mo1 0.039 0.201 0.152
Mo2 0.198 0.211 0.531
Mo3 0.399 0.757 0.165
P1 0.050 0.491 0.316
P2 0.311 0.850 0.427
P3 0.437 0.845 0.893
O1 0.029 0.637 0.741
O2 0.068 0.294 0.020
O3 0.118 0.757 0.479
O4 0.130 0.980 0.153
O5 0.143 0.403 0.628
O6 0.165 0.043 0.636
O7 0.173 0.616 0.219
O8 0.202 0.402 0.389
O9 0.268 0.047 0.415
O10 0.269 0.817 0.830
O11 0.347 0.236 0.159
O12 0.372 0.761 0.013
O13 0.383 0.810 0.306
O14 0.393 0.398 0.836
O15 0.434 0.042 0.892
O16 0.489 0.774 0.487
```

=====

(2)
Compound: MoPO3
Source: Alexandria via LeMat-Bulk
Functional: GGA+U
Structure: relaxed

```
data_MoPO3
_chemical_formula_sum 'Mo1 P1 O3'
_cell_length_a 3.706
_cell_length_b 3.706
_cell_length_c 3.706
_cell_angle_alpha 90.00
_cell_angle_beta 90.00
_cell_angle_gamma 90.00
_symmetry_space_group_name_H-M 'P m -3 m'
_symmetry_Int_Tables_number 221
_symmetry_space_group_name_Hall '-P 4 2 3'
loop_
_atom_site_label
_atom_site_fract_x
_atom_site_fract_y
_atom_site_fract_z
Mo1 0.000 0.000 0.000
P1 0.500 0.500 0.500
O1 0.000 0.500 0.500
```

=====

Final energy readings, ordered: -315.2 -30.1 eV per cell
Mass density readings, ordered: 3.33 5.70 g/cm³